This record from Alexandria via LeMat-Bulk describes crystalline SnMo2IBr at its relaxed geometry. The functional is PBE.

a = 5.029 Å, b = 5.029 Å, c = 6.341 Å
α = 90.00°, β = 90.00°, γ = 90.00°
Space group P4/mmm (No. 123)
Asymmetric unit:
1 Sn 0.000 0.000 0.000 [1 per cell]
2 Mo 0.000 0.500 0.500 [2 per cell]
3 I 0.500 0.500 0.500 [1 per cell]
4 Br 0.500 0.500 0.000 [1 per cell]

**VASP energy**: -4.050 eV per atom
**Raw formation energy**: 1727 meV/atom
**DOS at the Fermi energy**: 3.6 states/eV/f.u.